Record 1
{
  "formula": "Nd12Sm7Sc",
  "functional": "PBE",
  "state": "relaxed",
  "cell": [[8.535, 4.928, 2.757], [-8.535, 4.928, 2.757], [0.000, -9.855, 2.757]],
  "species": ["Nd", "Nd", "Nd", "Nd", "Nd", "Nd", "Nd", "Nd", "Nd", "Nd", "Nd", "Nd", "Sm", "Sm", "Sm", "Sm", "Sm", "Sm", "Sm", "Sc"],
  "fractional_positions": [[0.000, 0.285, 0.715], [0.000, 0.715, 0.285], [0.158, 0.158, 0.460], [0.158, 0.460, 0.158], [0.285, 0.000, 0.715], [0.285, 0.715, 0.000], [0.460, 0.158, 0.158], [0.540, 0.842, 0.842], [0.715, 0.000, 0.285], [0.715, 0.285, 0.000], [0.842, 0.540, 0.842], [0.842, 0.842, 0.540], [0.000, 0.000, 0.000], [0.097, 0.440, 0.440], [0.440, 0.097, 0.440], [0.440, 0.440, 0.097], [0.560, 0.560, 0.903], [0.560, 0.903, 0.560], [0.903, 0.560, 0.560], [0.500, 0.500, 0.500]],
  "dos_at_fermi_per_ev_cell": 28.17,
  "ef_ev_per_atom": 0.21,
  "spacegroup": "R-3m"
}



Record 2
{
  "formula": "InCo2Os",
  "functional": "PBE",
  "state": "relaxed",
  "cell": [[2.786, 0.000, 0.000], [-1.393, 2.413, 0.000], [0.000, 0.000, 25.783]],
  "species": ["In", "In", "In", "Co", "Co", "Co", "Co", "Co", "Co", "Os", "Os", "Os"],
  "fractional_positions": [[0.000, 0.000, 0.000], [0.333, 0.667, 0.667], [0.667, 0.333, 0.333], [0.000, 0.000, 0.493], [0.000, 0.000, 0.754], [0.333, 0.667, 0.160], [0.333, 0.667, 0.421], [0.667, 0.333, 0.088], [0.667, 0.333, 0.827], [0.000, 0.000, 0.237], [0.333, 0.667, 0.904], [0.667, 0.333, 0.571]],
  "dos_at_fermi_per_ev_cell": 10.13,
  "ef_ev_per_atom": 0.46,
  "spacegroup": "R3m"
}



Record 3
{
  "formula": "Ce2SmCoPt",
  "functional": "PBE",
  "state": "relaxed",
  "cell": [[4.888, 0.000, 0.000], [0.000, 4.888, 0.000], [0.000, 0.000, 5.718]],
  "species": ["Ce", "Ce", "Sm", "Co", "Pt"],
  "fractional_positions": [[0.000, 0.500, 0.000], [0.500, 0.000, 0.000], [0.000, 0.000, 0.536], [0.000, 0.000, 0.043], [0.500, 0.500, 0.693]],
  "dos_at_fermi_per_ev_cell": 9.55,
  "ef_ev_per_atom": -0.28,
  "spacegroup": "P4mm"
}



Record 4
{
  "formula": "Y2ReRuC",
  "functional": "PBE",
  "state": "relaxed",
  "cell": [[5.286, 0.000, 0.000], [0.000, 5.286, 0.000], [0.000, 0.000, 4.542]],
  "species": ["Y", "Y", "Re", "Ru", "C"],
  "fractional_positions": [[0.000, 0.500, 0.000], [0.500, 0.000, 0.000], [0.000, 0.000, 0.500], [0.000, 0.000, 0.000], [0.500, 0.500, 0.500]],
  "dos_at_fermi_per_ev_cell": 5.48,
  "ef_ev_per_atom": 1.60,
  "spacegroup": "P4/mmm"
}



Record 5
{
  "formula": "Ba5Ni",
  "functional": "PBE",
  "state": "relaxed",
  "cell": [[14.802, 0.000, 0.000], [0.000, 4.299, 0.000], [-2.155, 0.000, 9.902]],
  "species": ["Ba", "Ba", "Ba", "Ba", "Ba", "Ba", "Ba", "Ba", "Ba", "Ba", "Ni", "Ni"],
  "fractional_positions": [[0.000, 0.000, 0.000], [0.093, 0.000, 0.423], [0.203, 0.500, 0.793], [0.296, 0.000, 0.221], [0.392, 0.000, 0.615], [0.500, 0.500, 0.000], [0.593, 0.500, 0.423], [0.703, 0.000, 0.793], [0.796, 0.500, 0.221], [0.892, 0.500, 0.615], [0.250, 0.500, 0.478], [0.750, 0.000, 0.478]],
  "dos_at_fermi_per_ev_cell": 13.68,
  "ef_ev_per_atom": 0.07,
  "spacegroup": "Cm"
}



Record 6
{
  "formula": "Tm2SiSe",
  "functional": "PBE",
  "state": "relaxed",
  "cell": [[4.008, 0.000, 0.000], [-2.004, 3.471, 0.000], [0.000, 0.000, 20.930]],
  "species": ["Tm", "Tm", "Tm", "Tm", "Tm", "Tm", "Si", "Si", "Si", "Se", "Se", "Se"],
  "fractional_positions": [[0.000, 0.000, 0.000], [0.000, 0.000, 0.182], [0.333, 0.667, 0.667], [0.333, 0.667, 0.849], [0.667, 0.333, 0.333], [0.667, 0.333, 0.515], [0.000, 0.000, 0.590], [0.333, 0.667, 0.257], [0.667, 0.333, 0.923], [0.000, 0.000, 0.760], [0.333, 0.667, 0.426], [0.667, 0.333, 0.093]],
  "dos_at_fermi_per_ev_cell": 6.97,
  "spacegroup": "R3m",
  "e_form_raw_mev_per_atom": -1153
}



Record 7
{
  "formula": "HoTm6Pu",
  "functional": "PBE",
  "state": "relaxed",
  "cell": [[6.854, 0.000, 0.000], [0.000, 11.989, 0.000], [-3.374, 0.000, 5.977]],
  "species": ["Ho", "Ho", "Tm", "Tm", "Tm", "Tm", "Tm", "Tm", "Tm", "Tm", "Tm", "Tm", "Tm", "Tm", "Pu", "Pu"],
  "fractional_positions": [[0.000, 0.000, 0.000], [0.500, 0.500, 0.000], [0.234, 0.278, 0.748], [0.234, 0.722, 0.748], [0.237, 0.500, 0.259], [0.263, 0.000, 0.741], [0.266, 0.222, 0.252], [0.266, 0.778, 0.252], [0.734, 0.222, 0.748], [0.734, 0.778, 0.748], [0.737, 0.000, 0.259], [0.763, 0.500, 0.741], [0.766, 0.278, 0.252], [0.766, 0.722, 0.252], [0.000, 0.500, 0.500], [0.500, 0.000, 0.500]],
  "dos_at_fermi_per_ev_cell": 25.99,
  "ef_ev_per_atom": 0.41,
  "spacegroup": "C2/m"
}



Record 8
{
  "formula": "Ac3Al9Cu2",
  "functional": "PBE",
  "state": "relaxed",
  "cell": [[-2.264, 5.203, 6.458], [2.264, -5.203, 6.458], [2.264, 5.203, -6.458]],
  "species": ["Ac", "Ac", "Ac", "Al", "Al", "Al", "Al", "Al", "Al", "Al", "Al", "Al", "Cu", "Cu"],
  "fractional_positions": [[0.000, 0.000, 0.000], [0.314, 0.314, 0.000], [0.686, 0.686, 0.000], [0.024, 0.663, 0.361], [0.154, 0.877, 0.277], [0.302, 0.663, 0.639], [0.400, 0.123, 0.277], [0.500, 0.000, 0.500], [0.600, 0.877, 0.723], [0.698, 0.337, 0.361], [0.846, 0.123, 0.723], [0.976, 0.337, 0.639], [0.277, 0.500, 0.777], [0.723, 0.500, 0.223]],
  "dos_at_fermi_per_ev_cell": 6.20,
  "ef_ev_per_atom": -0.31,
  "spacegroup": "Immm"
}



Record 9
{
  "formula": "LaMgNbP2",
  "functional": "PBE",
  "state": "relaxed",
  "cell": [[4.847, 0.000, 0.000], [0.000, 4.847, 0.000], [0.000, 0.000, 4.974]],
  "species": ["La", "Mg", "Nb", "P", "P"],
  "fractional_positions": [[0.000, 0.000, 0.000], [0.500, 0.500, 0.000], [0.500, 0.500, 0.500], [0.000, 0.500, 0.500], [0.500, 0.000, 0.500]],
  "dos_at_fermi_per_ev_cell": 2.22,
  "ef_ev_per_atom": -0.29,
  "spacegroup": "P4/mmm"
}



Record 10
{
  "formula": "LiCa2CeTl4",
  "functional": "PBE",
  "state": "relaxed",
  "cell": [[2.687, 1.551, 9.002], [-2.687, 1.551, 9.002], [0.000, -3.103, 9.002]],
  "species": ["Li", "Ca", "Ca", "Ce", "Tl", "Tl", "Tl", "Tl"],
  "fractional_positions": [[0.000, 0.000, 0.000], [0.254, 0.254, 0.254], [0.746, 0.746, 0.746], [0.500, 0.500, 0.500], [0.122, 0.122, 0.122], [0.373, 0.373, 0.373], [0.627, 0.627, 0.627], [0.878, 0.878, 0.878]],
  "dos_at_fermi_per_ev_cell": 10.41,
  "ef_ev_per_atom": -0.31,
  "spacegroup": "R-3m"
}



Record 11
{
  "formula": "Na3Bi2Pb2",
  "functional": "PBE",
  "state": "relaxed",
  "cell": [[11.036, 0.000, 0.000], [0.000, 5.001, 0.000], [-2.482, 0.000, 7.997]],
  "species": ["Na", "Na", "Na", "Na", "Na", "Na", "Bi", "Bi", "Bi", "Bi", "Pb", "Pb", "Pb", "Pb"],
  "fractional_positions": [[0.000, 0.000, 0.000], [0.133, 0.000, 0.429], [0.367, 0.500, 0.571], [0.500, 0.500, 0.000], [0.633, 0.500, 0.429], [0.867, 0.000, 0.571], [0.189, 0.500, 0.184], [0.311, 0.000, 0.816], [0.689, 0.000, 0.184], [0.811, 0.500, 0.816], [0.109, 0.500, 0.764], [0.391, 0.000, 0.236], [0.609, 0.000, 0.764], [0.891, 0.500, 0.236]],
  "dos_at_fermi_per_ev_cell": 5.48,
  "ef_ev_per_atom": -0.17,
  "spacegroup": "C2/m"
}



Record 12
{
  "formula": "La2Ni2Hg",
  "functional": "PBE",
  "state": "relaxed",
  "cell": [[4.058, 0.000, 0.000], [0.000, 14.497, 0.000], [0.000, 0.000, 3.927]],
  "species": ["La", "La", "La", "La", "Ni", "Ni", "Ni", "Ni", "Hg", "Hg"],
  "fractional_positions": [[0.000, 0.136, 0.000], [0.000, 0.864, 0.000], [0.500, 0.364, 0.000], [0.500, 0.636, 0.000], [0.000, 0.298, 0.500], [0.000, 0.702, 0.500], [0.500, 0.202, 0.500], [0.500, 0.798, 0.500], [0.000, 0.500, 0.500], [0.500, 0.000, 0.500]],
  "dos_at_fermi_per_ev_cell": 9.83,
  "ef_ev_per_atom": -0.44,
  "spacegroup": "Cmmm"
}